Material: RbNa2MgI6
Method: DFT, PBE
State: optimized geometry

The space group is C2/c (No. 15) and the conventional cell measures 14.8319, 17.8581 and 9.1884 Å, with angles of 90.00, 118.53 and 90.00 degrees. Symmetry generates all atoms from Rb at (0.0000, 0.1073, 0.2500), Na at (0.1262, 0.4033, 0.1003), Mg at (0.0000, 0.1576, 0.7500), I at (0.1052, 0.2330, 0.0435), I at (0.1054, 0.4388, 0.4286) and I at (0.1356, 0.0641, 0.7080).

The magnetic moment comes out at 0.10 μB/atom. The calculation puts the total energy at -2.482 eV per atom.

Material: Th3Al2Ga7
Method: DFT, PBE
State: optimized geometry

The space group is I4/mmm (No. 139) and the conventional cell measures 4.3611, 4.3611 and 28.0261 Å, with angles of 90.00, 90.00 and 90.00 degrees. Symmetry generates all atoms from Th at (0.0000, 0.0000, 0.0000), Th at (0.0000, 0.0000, 0.1636), Al at (0.0000, 0.0000, 0.3621), Ga at (0.0000, 0.0000, 0.2709), Ga at (0.0000, 0.0000, 0.5000) and Ga at (0.0000, 0.5000, 0.0804).

As for the formation energy: -0.36 eV/atom. The magnetic moment comes out at 0.00 μB/atom.